1.
Computed, not measured: an optimized crystal structure of LaNdIrRu at the PBE-GGA level of DFT.

Structure (CIF):
```
data_LaNdIrRu
_chemical_formula_sum 'La4 Nd4 Ir4 Ru4'
_symmetry_space_group_name_H-M 'F -4 3 m'
_symmetry_Int_Tables_number 216
_symmetry_space_group_name_Hall 'F -4 2 3'
_cell_length_a 7.112
_cell_length_b 7.112
_cell_length_c 7.112
_cell_angle_alpha 90.00
_cell_angle_beta 90.00
_cell_angle_gamma 90.00
loop_
_atom_site_label
_atom_site_fract_x
_atom_site_fract_y
_atom_site_fract_z
La1 0.000 0.000 0.000
Nd1 0.000 0.000 0.500
Ir1 0.250 0.250 0.250
Ru1 0.250 0.250 0.750
```

Output
* energy of formation: -0.31 eV per atom

2.
Computed, not measured: an optimized crystal structure of NpCdP2O8 at the PBE-GGA level of DFT.

Structure (CIF):
```
data_NpCdP2O8
_chemical_formula_sum 'Np1 Cd1 P2 O8'
_symmetry_space_group_name_H-M 'P -3 m 1'
_symmetry_Int_Tables_number 164
_symmetry_space_group_name_Hall '-P 3 2"'
_cell_length_a 5.4178
_cell_length_b 5.4178
_cell_length_c 6.6983
_cell_angle_alpha 90.00
_cell_angle_beta 90.00
_cell_angle_gamma 120.00
loop_
_atom_site_label
_atom_site_fract_x
_atom_site_fract_y
_atom_site_fract_z
Np1 0.0000 0.0000 0.0000
Cd1 0.0000 0.0000 0.5000
P1 0.3333 0.6667 0.6908
O1 0.1777 0.3555 0.7796
O2 0.3333 0.6667 0.4675
```

Output
* E_form (uncorrected): -2.18 eV/atom

3.
Computed, not measured: an optimized crystal structure of ZrNiMo at the PBE-GGA level of DFT.

Structure (CIF):
```
data_ZrNiMo
_chemical_formula_sum 'Zr18 Ni18 Mo18'
_symmetry_space_group_name_H-M 'R -3 m'
_symmetry_Int_Tables_number 166
_symmetry_space_group_name_Hall '-R 3 2"'
_cell_length_a 5.1748
_cell_length_b 5.1748
_cell_length_c 38.2713
_cell_angle_alpha 90.00
_cell_angle_beta 90.00
_cell_angle_gamma 120.00
loop_
_atom_site_label
_atom_site_fract_x
_atom_site_fract_y
_atom_site_fract_z
Zr1 0.0000 0.0000 0.0442
Zr2 0.0000 0.0000 0.1788
Zr3 0.0000 0.0000 0.2601
Ni1 0.0066 0.5033 0.7800
Mo1 0.0000 0.0000 0.3936
Mo2 0.0000 0.0000 0.5000
Mo3 0.0000 0.5000 0.0000
```

Output
* energy of formation: -0.22 eV per atom

no.,E (eV per atom)
1,-7.266
2,-7.540
3,-8.609